Computed, not measured: AcTb3NdSm after structural relaxation at the PBE level of DFT.

Computed properties:
**ΔH_f (0 K)**: 1.3 eV per formula unit
**Symmetry**: C2/m, No. 12
**Calculated total energy**: -0.32064 Ry/atom

a = 10.640 Å, b = 10.640 Å, c = 7.243 Å
α = 90.17°, β = 90.17°, γ = 31.33°
Element x y z (fractional)
Ac: 0.146 0.146 0.033
Ac: 0.854 0.854 0.967
Tb: 0.020 0.020 0.732
Tb: 0.281 0.281 0.746
Tb: 0.333 0.333 0.266
Tb: 0.667 0.667 0.734
Tb: 0.719 0.719 0.254
Tb: 0.980 0.980 0.268
Nd: 0.445 0.445 0.718
Nd: 0.555 0.555 0.282
Sm: 0.149 0.149 0.475
Sm: 0.851 0.851 0.525